Entry 1:
Entry from Alexandria via LeMat-Bulk: a crystal of Ca2Al2Sb relaxed with PBEsol (SCAN).

Cell and atoms, written as POSCAR:
```
Ca2Al2Sb
1.0
4.679 0.000 0.000
0.000 7.343 0.000
0.000 0.000 7.343
Sb Ca Al
2 4 4
direct
0.000 0.000 0.000
0.000 0.500 0.500
0.500 0.172 0.672
0.500 0.672 0.828
0.500 0.828 0.328
0.500 0.328 0.172
0.000 0.375 0.875
0.000 0.875 0.625
0.000 0.625 0.125
0.000 0.125 0.375
```

Summary:
- symmetry = P4/mbm (127)
- calculated volume (Å³/atom) = 25.227
- E_form (uncorrected) (eV per atom) = -0.366

---

Entry 2:
Entry from Alexandria via LeMat-Bulk: a crystal of MnBeSi2 relaxed with PBEsol (SCAN).

Cell and atoms, written as POSCAR:
```
MnBeSi2
1.0
3.919 0.000 0.000
1.959 3.394 0.000
1.959 1.131 3.200
Be Si Mn
1 2 1
direct
0.500 0.500 0.500
0.000 0.000 0.000
0.750 0.750 0.750
0.250 0.250 0.250
```

Summary:
- symmetry = F-43m (216)
- calculated volume (Å³/atom) = 10.640
- E_form (uncorrected) (eV per atom) = 0.363

---

Entry 3:
Entry from Alexandria via LeMat-Bulk: a crystal of AgP2Se relaxed with PBEsol (SCAN).

Cell and atoms, written as POSCAR:
```
AgP2Se
1.0
-2.409 -2.253 -0.935
0.632 -2.137 3.518
-2.659 4.957 1.192
Ag P Se
1 2 1
direct
0.500 0.500 0.000
0.747 0.823 0.494
0.253 0.177 0.506
0.000 0.000 0.000
```

Summary:
- symmetry = C2/m (12)
- calculated volume (Å³/atom) = 18.327
- E_form (uncorrected) (eV per atom) = 0.100

---

Entry 4:
Entry from Alexandria via LeMat-Bulk: a crystal of LiMgMn3 relaxed with PBEsol (SCAN).

Cell and atoms, written as POSCAR:
```
LiMgMn3
1.0
4.777 0.000 0.000
0.000 4.777 0.000
0.000 0.000 4.777
Mg Mn Li
1 3 1
direct
0.000 0.000 0.000
0.000 0.500 0.000
0.000 0.000 0.500
0.500 0.000 0.000
0.500 0.500 0.500
```

Summary:
- symmetry = Pm-3m (221)
- energy (eV/atom) = -11.464
- calculated volume (Å³/atom) = 21.808

---

Entry 5:
Entry from Alexandria via LeMat-Bulk: a crystal of CdCu4Hg relaxed with PBEsol (SCAN).

Cell and atoms, written as POSCAR:
```
CdCu4Hg
1.0
4.940 0.000 0.000
2.470 4.278 0.000
2.470 1.426 4.033
Cd Cu Hg
1 4 1
direct
0.000 0.000 0.000
0.375 0.375 0.375
0.375 0.375 0.876
0.876 0.375 0.375
0.375 0.876 0.375
0.750 0.750 0.750
```

Summary:
- symmetry = F-43m (216)
- energy (eV/atom) = -26.500
- calculated volume (Å³/atom) = 14.206

---

Entry 6:
Entry from Alexandria via LeMat-Bulk: a crystal of ZrCdPt relaxed with PBEsol (SCAN).

Cell and atoms, written as POSCAR:
```
ZrCdPt
1.0
3.498 0.000 0.000
0.000 3.498 0.000
-1.749 -1.749 4.503
Cd Pt Zr
1 1 1
direct
0.995 0.995 0.990
0.329 0.329 0.658
0.676 0.676 0.352
```

Summary:
- symmetry = I4mm (107)
- energy (eV/atom) = -44.464
- calculated volume (Å³/atom) = 18.371

---

Entry 7:
Entry from Alexandria via LeMat-Bulk: a crystal of YHgAs2Br relaxed with PBEsol (SCAN).

Cell and atoms, written as POSCAR:
```
YHgAs2Br
1.0
-4.628 -2.414 1.354
2.616 -2.846 3.868
-1.017 3.977 3.613
Y As Hg Br
1 2 1 1
direct
0.000 0.000 0.000
0.000 0.000 0.500
0.000 0.500 0.000
0.500 0.500 0.500
0.500 0.000 0.000
```

Summary:
- symmetry = P4/mmm (123)
- calculated volume (Å³/atom) = 32.252
- E_form (uncorrected) (eV per atom) = -0.133

---

Entry 8:
Entry from Alexandria via LeMat-Bulk: a crystal of CrOsCl relaxed with PBEsol (SCAN).

Cell and atoms, written as POSCAR:
```
CrOsCl
1.0
-0.945 2.556 0.715
-3.284 -1.644 1.532
3.207 0.545 2.292
Cr Os Cl
1 1 1
direct
0.785 0.333 0.667
0.271 0.667 0.333
0.945 0.000 0.000
```

Summary:
- symmetry = P3m1 (156)
- calculated volume (Å³/atom) = 12.881
- E_form (uncorrected) (eV per atom) = 0.902

---

Entry 9:
Entry from Alexandria via LeMat-Bulk: a crystal of La2MgAg relaxed with PBEsol (SCAN).

Cell and atoms, written as POSCAR:
```
La2MgAg
1.0
3.526 0.000 0.000
0.000 4.912 0.000
-1.763 0.000 6.361
Mg Ag La
1 1 2
direct
0.807 0.000 0.615
0.685 0.500 0.371
0.085 0.000 0.171
0.413 0.500 0.826
```

Summary:
- symmetry = Amm2 (38)
- energy (eV/atom) = -30.793
- calculated volume (Å³/atom) = 27.544

---

Entry 10:
Entry from Alexandria via LeMat-Bulk: a crystal of ScBeOs2 relaxed with PBEsol (SCAN).

Cell and atoms, written as POSCAR:
```
ScBeOs2
1.0
2.969 0.000 0.000
0.000 2.969 0.000
0.000 0.000 6.360
Sc Be Os
1 1 2
direct
0.000 0.000 0.511
0.500 0.500 0.804
0.000 0.000 0.960
0.500 0.500 0.226
```

Summary:
- symmetry = P4mm (99)
- energy (eV/atom) = -40.724
- calculated volume (Å³/atom) = 14.015

---

Entry 11:
Entry from Alexandria via LeMat-Bulk: a crystal of Y2ReP relaxed with PBEsol (SCAN).

Cell and atoms, written as POSCAR:
```
Y2ReP
1.0
-2.751 -1.463 -0.632
0.286 -1.695 2.675
-3.994 5.753 4.072
P Re Y
1 1 2
direct
0.000 0.000 0.558
0.500 0.500 0.687
0.000 0.000 0.938
0.500 0.500 0.317
```

Summary:
- symmetry = P4mm (99)
- energy (eV/atom) = -34.632
- calculated volume (Å³/atom) = 20.476

---

Entry 12:
Entry from Alexandria via LeMat-Bulk: a crystal of Sc2TeS relaxed with PBEsol (SCAN).

Cell and atoms, written as POSCAR:
```
Sc2TeS
1.0
-2.069 1.431 4.107
2.381 -0.412 4.167
1.603 3.941 2.258
Sc S Te
2 1 1
direct
0.250 0.250 0.250
0.750 0.750 0.750
0.000 0.000 0.000
0.500 0.500 0.500
```

Summary:
- symmetry = Fm-3m (225)
- calculated volume (Å³/atom) = 19.750
- E_form (uncorrected) (eV per atom) = -1.240

---

Entry 13:
Entry from Alexandria via LeMat-Bulk: a crystal of Zn2TeBr2O3 relaxed with PBEsol (SCAN).

Cell and atoms, written as POSCAR:
```
Zn2TeBr2O3
1.0
7.645 0.000 0.000
0.000 10.533 0.000
0.000 0.000 15.945
Zn Te Br O
16 8 16 24
direct
0.399 0.237 0.976
0.341 0.993 0.392
0.659 0.493 0.892
0.659 0.007 0.608
0.601 0.763 0.024
0.399 0.263 0.524
0.841 0.507 0.392
0.601 0.737 0.476
0.841 0.993 0.108
0.159 0.007 0.892
0.341 0.507 0.108
0.101 0.763 0.476
0.899 0.237 0.524
0.159 0.493 0.608
0.101 0.737 0.024
0.899 0.263 0.976
0.792 0.972 0.404
0.292 0.528 0.404
0.708 0.472 0.596
0.208 0.472 0.904
0.292 0.972 0.096
0.792 0.528 0.096
0.208 0.028 0.596
0.708 0.028 0.904
0.347 0.417 0.714
0.941 0.292 0.372
0.153 0.583 0.214
0.559 0.708 0.872
0.153 0.917 0.286
0.441 0.292 0.128
0.059 0.708 0.628
0.653 0.583 0.286
0.941 0.208 0.128
0.653 0.917 0.214
0.347 0.083 0.786
0.847 0.417 0.786
0.441 0.208 0.372
0.847 0.083 0.714
0.059 0.792 0.872
0.559 0.792 0.628
0.856 0.810 0.445
0.356 0.690 0.445
0.644 0.190 0.945
0.692 0.558 0.489
0.192 0.942 0.489
0.440 0.089 0.579
0.192 0.558 0.011
0.356 0.810 0.055
0.560 0.911 0.421
0.144 0.190 0.555
0.692 0.942 0.011
0.644 0.310 0.555
0.308 0.058 0.989
0.940 0.411 0.579
0.560 0.589 0.079
0.060 0.911 0.079
0.808 0.058 0.511
0.308 0.442 0.511
0.060 0.589 0.421
0.144 0.310 0.945
0.856 0.690 0.055
0.808 0.442 0.989
0.440 0.411 0.921
0.940 0.089 0.921
```

Summary:
- symmetry = Pccn (56)
- calculated volume (Å³/atom) = 20.062
- E_form (uncorrected) (eV per atom) = -1.218

---

Entry 14:
Entry from Alexandria via LeMat-Bulk: a crystal of KNiPt2 relaxed with PBEsol (SCAN).

Cell and atoms, written as POSCAR:
```
KNiPt2
1.0
-0.495 -2.104 1.648
4.222 -1.140 -0.189
1.464 4.723 4.229
K Ni Pt
1 1 2
direct
0.551 0.000 0.101
0.899 0.500 0.797
0.798 0.000 0.597
0.236 0.500 0.471
```

Summary:
- symmetry = Amm2 (38)
- energy (eV/atom) = -40.998
- calculated volume (Å³/atom) = 18.925

---

Entry 15:
Entry from Alexandria via LeMat-Bulk: a crystal of Sc2InW relaxed with PBEsol (SCAN).

Cell and atoms, written as POSCAR:
```
Sc2InW
1.0
4.763 0.000 0.000
2.381 4.125 0.000
2.381 1.375 3.889
In Sc W
1 2 1
direct
0.500 0.500 0.500
0.000 0.000 0.000
0.750 0.750 0.750
0.250 0.250 0.250
```

Summary:
- symmetry = F-43m (216)
- energy (eV/atom) = -32.694
- calculated volume (Å³/atom) = 19.101

---

Entry 16:
Entry from Alexandria via LeMat-Bulk: a crystal of BaSi2Ni relaxed with PBEsol (SCAN).

Cell and atoms, written as POSCAR:
```
BaSi2Ni
1.0
-3.522 -1.337 -1.109
-0.393 -1.900 -3.414
-0.182 -6.369 1.306
Ni Si Ba
1 2 1
direct
0.672 0.672 0.983
0.032 0.032 0.905
0.297 0.297 0.108
0.495 0.495 0.515
```

Summary:
- symmetry = R3m (160)
- calculated volume (Å³/atom) = 20.351
- E_form (uncorrected) (eV per atom) = -0.434

---

Entry 17:
Entry from Alexandria via LeMat-Bulk: a crystal of RbEuO2 relaxed with PBEsol (SCAN).

Cell and atoms, written as POSCAR:
```
RbEuO2
1.0
-2.301 -1.346 2.352
1.052 -2.523 2.272
1.277 3.244 5.793
Eu Rb O
1 1 2
direct
0.500 0.500 0.500
0.000 0.000 0.000
0.227 0.227 0.320
0.773 0.773 0.680
```

Summary:
- symmetry = R-3m (166)
- calculated volume (Å³/atom) = 17.624
- E_form (uncorrected) (eV per atom) = -2.447

---

Entry 18:
Entry from Alexandria via LeMat-Bulk: a crystal of Cr3BP relaxed with PBEsol (SCAN).

Cell and atoms, written as POSCAR:
```
Cr3BP
1.0
4.048 0.000 0.000
0.000 4.048 0.000
0.000 0.000 4.048
Cr B P
3 1 1
direct
0.000 0.500 0.000
0.000 0.000 0.500
0.500 0.000 0.000
0.500 0.500 0.500
0.000 0.000 0.000
```

Summary:
- symmetry = Pm-3m (221)
- energy (eV/atom) = -13.299
- calculated volume (Å³/atom) = 13.261

---

Entry 19:
Entry from Alexandria via LeMat-Bulk: a crystal of V4FeCoO12 relaxed with PBEsol (SCAN).

Cell and atoms, written as POSCAR:
```
V4FeCoO12
1.0
5.713 -0.006 -0.005
1.754 6.384 -0.010
1.754 0.266 6.378
V Fe Co O
4 1 1 12
direct
0.995 0.389 0.204
0.005 0.796 0.611
0.495 0.203 0.390
0.505 0.610 0.797
0.000 0.917 0.083
0.500 0.083 0.917
0.612 0.030 0.192
0.388 0.808 0.970
0.480 0.090 0.628
0.520 0.372 0.910
0.114 0.190 0.033
0.886 0.967 0.810
0.692 0.378 0.344
0.308 0.656 0.622
0.190 0.344 0.378
0.810 0.622 0.656
0.986 0.626 0.085
0.014 0.915 0.374
```

Summary:
- symmetry = C2 (5)
- calculated volume (Å³/atom) = 12.930
- E_form (uncorrected) (eV per atom) = -2.276

---

Entry 20:
Entry from Alexandria via LeMat-Bulk: a crystal of HgIr2Ru relaxed with PBEsol (SCAN).

Cell and atoms, written as POSCAR:
```
HgIr2Ru
1.0
2.766 0.000 0.000
1.383 2.395 0.000
1.383 0.798 9.153
Hg Ir Ru
1 2 1
direct
0.000 0.000 0.000
0.243 0.243 0.270
0.757 0.757 0.730
0.500 0.500 0.500
```

Summary:
- symmetry = R-3m (166)
- energy (eV/atom) = -61.006
- calculated volume (Å³/atom) = 15.157